Below is a relaxed FeB4Pt crystal, with properties calculated at the PBE level. Values from VASP.

The total energy is -6.5618 eV/atom. Its space group is No. 71.

Geometry as Quantum ESPRESSO input:
```
&SYSTEM
  ibrav = 0, nat = 6, ntyp = 3
/
ATOMIC_SPECIES
B 10.81 B.upf
Pt 195.08 Pt.upf
Fe 55.84 Fe.upf
CELL_PARAMETERS angstrom
-1.513 2.580 3.461
1.513 -2.580 3.461
1.513 2.580 -3.461
ATOMIC_POSITIONS crystal
B 0.903 0.233 0.670
B 0.436 0.767 0.670
B 0.564 0.233 0.330
B 0.097 0.767 0.330
Pt 0.000 0.000 0.000
Fe 0.500 0.500 0.000
```


Below is a relaxed FeB4Pt crystal, with properties calculated at the PBE level. Values from VASP.

The total energy is -6.5960 eV/atom. Its space group is No. 191.

Geometry as Quantum ESPRESSO input:
```
&SYSTEM
  ibrav = 0, nat = 6, ntyp = 3
/
ATOMIC_SPECIES
B 10.81 B.upf
Pt 195.08 Pt.upf
Fe 55.84 Fe.upf
CELL_PARAMETERS angstrom
3.005 0.000 0.000
-1.502 2.602 0.000
0.000 0.000 6.793
ATOMIC_POSITIONS crystal
B 0.333 0.667 0.275
B 0.667 0.333 0.275
B 0.333 0.667 0.725
B 0.667 0.333 0.725
Pt 0.000 0.000 0.000
Fe 0.000 0.000 0.500
```


Below is a relaxed FeTcBPt crystal, with properties calculated at the PBE level. Values from VASP.

The total energy is -7.3631 eV/atom. Its space group is No. 216.

Geometry as Quantum ESPRESSO input:
```
&SYSTEM
  ibrav = 0, nat = 4, ntyp = 4
/
ATOMIC_SPECIES
B 10.81 B.upf
Fe 55.84 Fe.upf
Pt 195.08 Pt.upf
Tc 98.00 Tc.upf
CELL_PARAMETERS angstrom
0.000 2.921 2.921
2.921 0.000 2.921
2.921 2.921 0.000
ATOMIC_POSITIONS crystal
B 0.000 0.000 0.000
Fe 0.750 0.750 0.750
Pt 0.500 0.500 0.500
Tc 0.250 0.250 0.250
```


Below is a relaxed FeBPtW crystal, with properties calculated at the PBE level. Values from VASP.

The total energy is -7.9998 eV/atom. Its space group is No. 216.

Geometry as Quantum ESPRESSO input:
```
&SYSTEM
  ibrav = 0, nat = 4, ntyp = 4
/
ATOMIC_SPECIES
W 183.84 W.upf
Pt 195.08 Pt.upf
Fe 55.84 Fe.upf
B 10.81 B.upf
CELL_PARAMETERS angstrom
0.000 2.957 2.957
2.957 0.000 2.957
2.957 2.957 0.000
ATOMIC_POSITIONS crystal
W 0.250 0.250 0.250
Pt 0.500 0.500 0.500
Fe 0.750 0.750 0.750
B 0.000 0.000 0.000
```


Below is a relaxed FeBPtW crystal, with properties calculated at the PBE level. Values from VASP.

The total energy is -7.8389 eV/atom. Its space group is No. 216.

Geometry as Quantum ESPRESSO input:
```
&SYSTEM
  ibrav = 0, nat = 4, ntyp = 4
/
ATOMIC_SPECIES
Fe 55.84 Fe.upf
W 183.84 W.upf
B 10.81 B.upf
Pt 195.08 Pt.upf
CELL_PARAMETERS angstrom
-0.249 -3.747 1.850
-2.278 -3.048 -1.745
1.900 -3.312 -1.716
ATOMIC_POSITIONS crystal
Fe 0.750 0.750 0.750
W 0.500 0.500 0.500
B 0.000 0.000 0.000
Pt 0.250 0.250 0.250
```


Below is a relaxed YFeBPt crystal, with properties calculated at the PBE level. Values from VASP.

The total energy is -6.6417 eV/atom. Its space group is No. 216.

Geometry as Quantum ESPRESSO input:
```
&SYSTEM
  ibrav = 0, nat = 4, ntyp = 4
/
ATOMIC_SPECIES
B 10.81 B.upf
Pt 195.08 Pt.upf
Fe 55.84 Fe.upf
Y 88.91 Y.upf
CELL_PARAMETERS angstrom
0.000 3.180 3.180
3.180 0.000 3.180
3.180 3.180 0.000
ATOMIC_POSITIONS crystal
B 0.000 0.000 0.000
Pt 0.500 0.500 0.500
Fe 0.750 0.750 0.750
Y 0.250 0.250 0.250
```


The records above give, respectively, volume values of 9.01 8.85 12.46 12.93 12.97 16.08 Å³/atom.